Entry 1:
AlGeOs after structural relaxation. Source: OQMD via LeMat-Bulk, functional PBE.

Values from the calculation:
energy relative to the lowest polymorph listed for this composition	0.00	eV/f.u.

The structure in POSCAR format:
```
AlGeOs
1.0
0.000 2.951 2.951
2.951 0.000 2.951
2.951 2.951 0.000
Al Ge Os
1 1 1
Direct
0.000 0.000 0.000
0.500 0.500 0.500
0.250 0.250 0.250
```



Entry 2:
ErCuSnTe3 after structural relaxation. Source: OQMD via LeMat-Bulk, functional PBE.

Values from the calculation:
energy relative to the lowest polymorph listed for this composition	0.00	eV/f.u.

The structure in POSCAR format:
```
ErCuSnTe3
1.0
11.116 0.000 0.000
0.000 4.248 0.000
0.000 0.000 14.442
Er Cu Sn Te
4 4 4 12
Direct
0.022 0.250 0.241
0.478 0.750 0.741
0.522 0.250 0.259
0.978 0.750 0.759
0.240 0.250 0.722
0.260 0.750 0.222
0.740 0.250 0.778
0.760 0.750 0.278
0.216 0.750 0.507
0.284 0.250 0.007
0.716 0.750 0.993
0.784 0.250 0.493
0.045 0.250 0.611
0.087 0.750 0.100
0.234 0.750 0.836
0.266 0.250 0.336
0.413 0.250 0.600
0.455 0.750 0.111
0.545 0.250 0.889
0.587 0.750 0.400
0.734 0.750 0.664
0.766 0.250 0.164
0.913 0.250 0.900
0.955 0.750 0.389
```



Entry 3:
Ag2SnHgSe2S2 after structural relaxation. Source: OQMD via LeMat-Bulk, functional PBE.

Values from the calculation:
energy relative to the lowest polymorph listed for this composition	0.00	eV/f.u.

The structure in POSCAR format:
```
Ag2SnHgSe2S2
1.0
6.770 -2.984 0.000
6.770 2.984 0.000
-2.590 0.000 5.399
Ag Sn Hg Se S
2 1 1 2 2
Direct
0.250 0.250 0.225
0.750 0.750 0.775
0.489 0.511 0.000
0.007 0.993 0.500
0.608 0.135 0.632
0.865 0.392 0.368
0.137 0.621 0.117
0.379 0.863 0.883
```



Entry 4:
NiH after structural relaxation. Source: OQMD via LeMat-Bulk, functional PBE.

Values from the calculation:
final energy	-4.524	eV per atom

The structure in POSCAR format:
```
NiH
1.0
0.000 1.847 1.847
1.847 0.000 1.847
1.847 1.847 0.000
Ni H
1 1
Direct
0.000 0.000 0.000
0.500 0.500 0.500
```



Entry 5:
SiTePt after structural relaxation. Source: OQMD via LeMat-Bulk, functional PBE.

Values from the calculation:
final energy	-5.416	eV per atom

The structure in POSCAR format:
```
SiTePt
1.0
6.220 0.000 0.000
0.000 6.316 0.000
0.000 0.000 12.613
Si Te Pt
8 8 8
Direct
0.129 0.167 0.061
0.129 0.333 0.561
0.371 0.667 0.061
0.371 0.833 0.561
0.629 0.167 0.439
0.629 0.333 0.939
0.871 0.667 0.439
0.871 0.833 0.939
0.117 0.584 0.825
0.117 0.916 0.325
0.383 0.084 0.825
0.383 0.416 0.325
0.617 0.584 0.675
0.617 0.916 0.175
0.883 0.084 0.675
0.883 0.416 0.175
0.025 0.687 0.614
0.025 0.813 0.114
0.475 0.187 0.614
0.475 0.313 0.114
0.525 0.687 0.886
0.525 0.813 0.386
0.975 0.187 0.886
0.975 0.313 0.386
```



Entry 6:
Nb2CuPd after structural relaxation. Source: OQMD via LeMat-Bulk, functional PBE.

Values from the calculation:
formation enthalpy at 0 K	0.1527	eV/atom

The structure in POSCAR format:
```
Nb2CuPd
1.0
0.000 3.175 3.175
3.175 0.000 3.175
3.175 3.175 0.000
Nb Cu Pd
2 1 1
Direct
0.000 0.000 0.000
0.250 0.250 0.250
0.750 0.750 0.750
0.500 0.500 0.500
```



Entry 7:
Ta5Tl2Ag2 after structural relaxation. Source: OQMD via LeMat-Bulk, functional PBE.

Values from the calculation:
final energy	-6.138	eV per atom

The structure in POSCAR format:
```
Ta5Tl2Ag2
1.0
2.138 1.234 15.475
-2.138 1.234 15.475
0.000 -2.469 15.475
Ta Tl Ag
5 2 2
Direct
0.000 0.000 0.000
0.116 0.116 0.116
0.581 0.581 0.581
0.752 0.752 0.752
0.878 0.878 0.878
0.641 0.641 0.641
0.818 0.818 0.818
0.056 0.056 0.056
0.227 0.227 0.227
```



Entry 8:
SrBeMoOs after structural relaxation. Source: OQMD via LeMat-Bulk, functional PBE.

Values from the calculation:
energy relative to the lowest polymorph listed for this composition	2.43	eV/f.u.

The structure in POSCAR format:
```
SrBeMoOs
1.0
0.000 3.226 3.226
3.226 0.000 3.226
3.226 3.226 0.000
Sr Be Mo Os
1 1 1 1
Direct
0.000 0.000 0.000
0.500 0.500 0.500
0.750 0.750 0.750
0.250 0.250 0.250
```



Entry 9:
Er2TmMg3Tl2Cd after structural relaxation. Source: OQMD via LeMat-Bulk, functional PBE.

Values from the calculation:
final energy	-2.951	eV per atom

The structure in POSCAR format:
```
Er2TmMg3Tl2Cd
1.0
4.590 0.000 0.000
0.000 6.497 3.759
0.000 -6.497 3.759
Er Tm Mg Tl Cd
2 1 3 2 1
Direct
0.000 0.214 0.786
0.000 0.786 0.214
0.000 0.359 0.359
0.500 0.026 0.026
0.500 0.546 0.786
0.500 0.786 0.546
0.500 0.120 0.453
0.500 0.453 0.120
0.000 0.785 0.785
```



Entry 10:
SrFeCoP2 after structural relaxation. Source: OQMD via LeMat-Bulk, functional PBE.

Values from the calculation:
final energy	-6.436	eV per atom

The structure in POSCAR format:
```
SrFeCoP2
1.0
-1.876 1.876 5.837
1.876 -1.876 5.837
1.876 1.876 -5.837
Sr Fe Co P
1 1 1 2
Direct
0.000 0.000 0.000
0.250 0.750 0.500
0.750 0.250 0.500
0.349 0.349 0.000
0.651 0.651 0.000
```



Entry 11:
H16PdC4S4N8Cl2 after structural relaxation. Source: OQMD via LeMat-Bulk, functional PBE.

Values from the calculation:
final energy	-5.528	eV per atom

The structure in POSCAR format:
```
H16PdC4S4N8Cl2
1.0
8.221 -5.573 0.000
8.221 5.573 0.000
-0.348 0.000 8.729
H Pd C S N Cl
32 2 8 8 16 4
Direct
0.022 0.651 0.178
0.055 0.339 0.131
0.077 0.784 0.555
0.138 0.384 0.845
0.148 0.697 0.731
0.205 0.355 0.228
0.216 0.923 0.945
0.303 0.852 0.769
0.331 0.475 0.730
0.339 0.055 0.631
0.349 0.978 0.322
0.355 0.205 0.728
0.384 0.138 0.345
0.393 0.413 0.056
0.413 0.393 0.556
0.475 0.331 0.230
0.525 0.669 0.770
0.587 0.607 0.444
0.607 0.587 0.944
0.616 0.862 0.655
0.645 0.795 0.272
0.651 0.022 0.678
0.661 0.945 0.369
0.669 0.525 0.270
0.697 0.148 0.231
0.784 0.077 0.055
0.795 0.645 0.772
0.852 0.303 0.269
0.862 0.616 0.155
0.923 0.216 0.445
0.945 0.661 0.869
0.978 0.349 0.822
0.176 0.824 0.250
0.824 0.176 0.750
0.149 0.199 0.717
0.199 0.149 0.217
0.244 0.589 0.537
0.411 0.756 0.963
0.589 0.244 0.037
0.756 0.411 0.463
0.801 0.851 0.783
0.851 0.801 0.283
0.056 0.091 0.646
0.091 0.056 0.146
0.256 0.584 0.339
0.416 0.744 0.161
0.584 0.256 0.839
0.744 0.416 0.661
0.909 0.944 0.854
0.944 0.909 0.354
0.085 0.319 0.799
0.151 0.700 0.614
0.153 0.290 0.186
0.290 0.153 0.686
0.300 0.849 0.886
0.319 0.085 0.299
0.334 0.475 0.612
0.475 0.334 0.112
0.525 0.666 0.888
0.666 0.525 0.388
0.681 0.915 0.701
0.700 0.151 0.114
0.710 0.847 0.314
0.847 0.710 0.814
0.849 0.300 0.386
0.915 0.681 0.201
0.185 0.557 0.950
0.443 0.815 0.550
0.557 0.185 0.450
0.815 0.443 0.050
```



Entry 12:
CsSmCl3 after structural relaxation. Source: OQMD via LeMat-Bulk, functional PBE.

Values from the calculation:
final energy	-4.155	eV per atom

The structure in POSCAR format:
```
CsSmCl3
1.0
7.754 0.000 0.000
0.000 10.955 0.000
0.000 0.000 7.723
Cs Sm Cl
4 4 12
Direct
0.001 0.250 0.001
0.499 0.750 0.501
0.501 0.250 0.499
0.999 0.750 0.999
0.000 0.000 0.500
0.000 0.500 0.500
0.500 0.000 0.000
0.500 0.500 0.000
0.001 0.750 0.493
0.242 0.003 0.242
0.242 0.497 0.242
0.258 0.503 0.742
0.258 0.997 0.742
0.499 0.250 0.993
0.501 0.750 0.007
0.742 0.003 0.258
0.742 0.497 0.258
0.758 0.503 0.758
0.758 0.997 0.758
0.999 0.250 0.507
```